Tb11S16 | meta-GGA SCAN | single point on PBEsol structure

Summary:
Size of the total moment   0.000 Bohr magnetons per cell
Calculated total energy   -1462.07 eV for the cell shown

CIF file:
```
data_Tb11S16
_chemical_formula_sum 'Tb22 S32'
_symmetry_space_group_name_H-M 'P 21 21 2'
_symmetry_Int_Tables_number 18
_cell_length_a 8.2148
_cell_length_b 16.4670
_cell_length_c 8.1877
_cell_angle_alpha 90.00
_cell_angle_beta 90.00
_cell_angle_gamma 90.00
loop_
_symmetry_equiv_pos_as_xyz
'x,y,z'
'-x,-y,z'
'x+1/2,-y+1/2,-z'
'-x+1/2,y+1/2,-z'
loop_
_atom_site_label
_atom_site_type_symbol
_atom_site_fract_x
_atom_site_fract_y
_atom_site_fract_z
Tb1 Tb 0.0000 0.0000 0.1348
Tb2 Tb 0.0040 0.7500 0.3772
Tb3 Tb 0.1232 0.6227 0.7625
Tb4 Tb 0.1330 0.1210 0.7592
Tb5 Tb 0.2436 0.4391 0.4790
Tb6 Tb 0.2477 0.3179 0.9986
S1 S 0.0655 0.0888 0.4365
S2 S 0.0746 0.1602 0.0803
S3 S 0.0766 0.6684 0.0786
S4 S 0.0788 0.5917 0.4370
S5 S 0.1721 0.2842 0.6777
S6 S 0.1723 0.9612 0.8383
S7 S 0.1799 0.7859 0.6791
S8 S 0.1819 0.4615 0.8038
```